No. 1
Density functional theory data (PBE-GGA) for a geometry-optimized CaPmGd4 structure.

abc: 9.4927 9.4927 9.4927
angles: 90.00 90.00 90.00
Last column: nearest neighbours and their distance in Å.
Space group F-43m (No. 216)
Asymmetric unit:
Ca1 0.0000 0.0000 0.0000 [4 per cell]  12 Gd 3.94, 4 Pm 4.11
Pm1 0.2500 0.2500 0.2500 [4 per cell]  12 Gd 3.93, 4 Ca 4.11
Gd1 0.1232 0.1232 0.6232 [16 per cell]  6 Gd 3.31-3.40

Summary:
Its formation energy is 214 meV per atom. The crystal system is cubic.

No. 2
Density functional theory data (PBE-GGA) for a geometry-optimized Ge2Rh2Au structure.

abc: 3.7989 3.7989 11.5858
angles: 90.00 90.00 90.00
Last column: nearest neighbours and their distance in Å.
Space group I4/mmm (No. 139)
Asymmetric unit:
Ge1 0.0000 0.5000 0.2500 [4 per cell]  4 Rh 2.46, 4 Ge 2.69
Rh1 0.0000 0.0000 0.1147 [4 per cell]  4 Ge 2.46, 1 Rh 2.66
Au1 0.0000 0.0000 0.5000 [2 per cell]  8 Rh 3.00

Summary:
Its polymorph energy (0 for the lowest one) is 104.1 meV/atom. Its formation energy is -210 meV per atom. The crystal system is tetragonal.

No. 3
Density functional theory data (PBE-GGA) for a geometry-optimized Sb2TeBrCl structure.

abc: 5.4412 5.4412 5.4840
angles: 90.00 90.00 90.00
Last column: nearest neighbours and their distance in Å.
Space group P4/mmm (No. 123)
Asymmetric unit:
Sb1 0.0000 0.5000 0.0000 [2 per cell]  2 Cl 2.72
Te1 0.0000 0.0000 0.5000 [1 per cell]  2 Cl 2.74
Br1 0.5000 0.5000 0.5000 [1 per cell]  4 Te 3.85, 8 Sb 3.86
Cl1 0.0000 0.0000 0.0000 [1 per cell]  4 Sb 2.72, 2 Te 2.74

Summary:
Its polymorph energy (0 for the lowest one) is 0.0 meV/atom. The raw formation energy comes out at 746.1 meV/atom. The crystal system is tetragonal.

Calculated total energy for every record listed, in sequence, given in eV/cell: -247.179, -56.534, -11.175.